(1)
Crystalline Tb3ZnPd3 at its relaxed geometry, computed with PBE.

Values from the calculation:
DFT total energy = -5.1861 eV/atom
DFT formation energy = -0.79 eV/atom

a b c (Å): 4.1774 5.5906 14.0346
angles (deg): 90.00 90.00 111.94
Positions (direct):
Pd 0.7467 0.4935 0.7500
Tb 0.4706 0.9411 0.7500
Pd 0.2533 0.5065 0.2500
Tb 0.8027 0.6055 0.1041
Tb 0.1973 0.3945 0.8959
Zn 0.5000 0.0000 0.5000
Tb 0.8027 0.6055 0.3959
Pd 0.9106 0.8211 0.9089
Pd 0.0894 0.1789 0.0911
Pd 0.9106 0.8211 0.5911
Tb 0.1973 0.3945 0.6041
Tb 0.5294 0.0589 0.2500
Pd 0.0894 0.1789 0.4089
Zn 0.5000 0.0000 0.0000


(2)
Crystalline Tb3Zn2Pd at its relaxed geometry, computed with PBE.

Values from the calculation:
excess energy over the best structure of this formula in the dataset = 0.83 kJ per mole of atoms
DFT total energy = -4.1279 eV/atom
DFT formation energy = -0.52 eV/atom

a b c (Å): 5.0301 5.0301 6.1807
angles (deg): 90.00 90.00 120.00
Positions (direct):
Zn 0.3333 0.6667 0.6489
Pd 0.0000 0.0000 0.0000
Tb 0.0000 0.0000 0.5000
Zn 0.6667 0.3333 0.3511
Tb 0.3333 0.6667 0.1585
Tb 0.6667 0.3333 0.8415


(3)
Crystalline TbZn6Pd12 at its relaxed geometry, computed with PBE.

Values from the calculation:
DFT total energy = -4.1879 eV/atom
DFT formation energy = -0.26 eV/atom

a b c (Å): 6.9482 6.9482 6.9482
angles (deg): 100.13 100.13 100.13
Positions (direct):
Zn 0.7642 0.8423 0.5523
Zn 0.4477 0.2358 0.1577
Zn 0.1577 0.4477 0.2358
Zn 0.5523 0.7642 0.8423
Pd 0.8174 0.4145 0.3916
Pd 0.2086 0.6831 0.0035
Pd 0.0035 0.2086 0.6831
Pd 0.6831 0.0035 0.2086
Pd 0.7914 0.3169 0.9965
Pd 0.5855 0.6084 0.1826
Pd 0.3169 0.9965 0.7914
Zn 0.8423 0.5523 0.7642
Zn 0.2358 0.1577 0.4477
Pd 0.9965 0.7914 0.3169
Pd 0.3916 0.8174 0.4145
Tb 0.0000 0.0000 0.0000
Pd 0.4145 0.3916 0.8174
Pd 0.1826 0.5855 0.6084
Pd 0.6084 0.1826 0.5855